1.
## AgPdSe2 (PBE-GGA)

Data for AgPdSe2 after structural relaxation.

Output
For the energy relative to the elements, uncorrected, the calculation gives 0.183 eV per atom. For the uncorrected energy, the calculation gives -3.5704 eV/atom.

Cell and atoms, written as POSCAR:
```
AgPdSe2
1.0
1.6848 0.0000 10.4781
-0.8424 1.4591 10.4781
-0.8424 -1.4591 10.4781
Se Pd Ag
2 1 1
direct
0.9228 0.9228 0.9228
0.0772 0.0772 0.0772
0.0000 0.0000 0.0000
0.5000 0.5000 0.5000
```

2.
## Ag2Pd3Se2 (PBE-GGA)

Data for Ag2Pd3Se2 after structural relaxation.

Output
For the energy relative to the elements, uncorrected, the calculation gives -0.120 eV per atom. For the uncorrected energy, the calculation gives -4.1556 eV/atom.

Cell and atoms, written as POSCAR:
```
Ag2Pd3Se2
1.0
3.2404 0.0000 0.0000
-1.6202 5.9702 -0.0040
0.0000 -2.7678 6.5037
Se Pd Ag
2 3 2
direct
0.1807 0.3614 0.1876
0.8193 0.6386 0.8124
0.3629 0.7258 0.5623
0.6371 0.2742 0.4377
0.5000 0.0000 0.0000
0.9183 0.8366 0.2789
0.0817 0.1634 0.7211
```

3.
## AgPd2Se (PBE-GGA)

Data for AgPd2Se after structural relaxation.

Output
For the energy relative to the elements, uncorrected, the calculation gives -0.037 eV per atom. For the uncorrected energy, the calculation gives -4.2174 eV/atom.

Cell and atoms, written as POSCAR:
```
AgPd2Se
1.0
3.0932 0.0000 0.0000
1.5466 2.6787 0.0000
1.5466 0.8929 8.3053
Pd Se Ag
2 1 1
direct
0.2564 0.2564 0.2308
0.0767 0.0767 0.7698
0.6670 0.6670 0.9991
0.4999 0.4999 0.5003
```

4.
## Ag3Pd3Se8 (PBE-GGA)

Data for Ag3Pd3Se8 after structural relaxation.

Output
For the energy relative to the elements, uncorrected, the calculation gives -0.143 eV per atom. For the uncorrected energy, the calculation gives -3.8575 eV/atom.

Cell and atoms, written as POSCAR:
```
Ag3Pd3Se8
1.0
6.6982 0.0068 3.8570
2.2330 6.3150 3.8570
0.0096 0.0068 7.7293
Pd Se Ag
3 8 3
direct
0.0000 0.5000 0.0000
0.0000 0.0000 0.5000
0.5000 0.0000 0.0000
0.7924 0.2437 0.2437
0.7645 0.7645 0.7645
0.2437 0.2437 0.7924
0.2355 0.2355 0.2355
0.7563 0.7563 0.2076
0.7563 0.2076 0.7563
0.2076 0.7563 0.7563
0.2437 0.7924 0.2437
0.3770 0.3770 0.3770
0.0000 0.0000 0.0000
0.6230 0.6230 0.6230
```

5.
## AgPdSe (PBE-GGA)

Data for AgPdSe after structural relaxation.

Output
Its energy above the most stable polymorph in this dataset is 0.000 eV/atom. For the energy relative to the elements, uncorrected, the calculation gives -0.107 eV per atom. For the uncorrected energy, the calculation gives -3.9499 eV/atom.

Cell and atoms, written as POSCAR:
```
AgPdSe
1.0
7.2862 0.0000 0.0000
0.0000 5.1117 0.5721
0.0000 -1.1318 6.1849
Pd Se Ag
4 4 4
direct
0.6684 0.8766 0.5358
0.3316 0.1234 0.4642
0.8316 0.3766 0.5358
0.1684 0.6234 0.4642
0.5573 0.2834 0.7589
0.4427 0.7166 0.2411
0.9427 0.7834 0.7589
0.0573 0.2166 0.2411
0.3668 0.7720 0.8307
0.8668 0.7280 0.1693
0.1332 0.2720 0.8307
0.6332 0.2280 0.1693
```

6.
## SiAg2PdSe4 (PBE-GGA)

Data for SiAg2PdSe4 after structural relaxation.

Output
For the energy relative to the elements, uncorrected, the calculation gives -0.183 eV per atom. For the uncorrected energy, the calculation gives -3.9647 eV/atom.

Cell and atoms, written as POSCAR:
```
SiAg2PdSe4
1.0
5.8343 0.0010 -0.0037
-0.0004 5.8349 -0.0034
-2.9145 -2.9159 5.8366
Se Si Pd Ag
4 1 1 2
direct
0.8542 0.4008 0.2343
0.3801 0.8335 0.2343
0.0710 0.0917 0.7092
0.6383 0.6176 0.7092
0.7359 0.7359 0.4718
0.9858 0.4859 0.9718
0.2359 0.2358 0.4717
0.4859 0.9858 0.9718
```

7.
## Ta2Ag2PdSe6 (PBE-GGA)

Data for Ta2Ag2PdSe6 after structural relaxation.

Output
For the energy relative to the elements, uncorrected, the calculation gives -0.402 eV per atom. For the uncorrected energy, the calculation gives -5.4484 eV/atom.

Cell and atoms, written as POSCAR:
```
Ta2Ag2PdSe6
1.0
-3.2731 -2.9945 4.6076
0.5857 -2.6128 -5.8086
7.2485 -1.2054 2.6411
Ta Pd Se Ag
2 1 6 2
direct
0.3716 0.6284 0.5000
0.6284 0.3716 0.5000
0.0000 0.0000 0.5000
0.6004 0.9526 0.3178
0.0474 0.3996 0.6822
0.3996 0.0474 0.6822
0.9526 0.6004 0.3178
0.2793 0.2793 0.2328
0.7207 0.7207 0.7672
0.3693 0.6307 0.0000
0.6307 0.3693 0.0000
```

8.
## TlAgPdSe2 (PBE-GGA)

Data for TlAgPdSe2 after structural relaxation.

Output
For the energy relative to the elements, uncorrected, the calculation gives -0.162 eV per atom. For the uncorrected energy, the calculation gives -3.6384 eV/atom.

Cell and atoms, written as POSCAR:
```
TlAgPdSe2
1.0
-0.3563 4.2685 3.3125
-0.2657 -3.6437 4.6668
7.6435 2.0056 -1.7623
Tl Se Ag Pd
2 4 2 2
direct
0.7917 0.2500 0.5000
0.2082 0.7500 0.5000
0.6734 0.6235 0.2470
0.3266 0.1235 0.2470
0.6734 0.8765 0.7530
0.3266 0.3765 0.7530
0.0000 0.5000 0.0000
0.0000 0.0000 0.0000
0.5000 0.2500 0.0000
0.5000 0.7500 0.0000
```

9.
## UAgPdSe3 (PBE-GGA)

Data for UAgPdSe3 after structural relaxation.

Output
For the energy relative to the elements, uncorrected, the calculation gives -0.621 eV per atom. For the uncorrected energy, the calculation gives -5.5854 eV/atom.

Cell and atoms, written as POSCAR:
```
UAgPdSe3
1.0
3.8297 0.0000 0.0000
0.0000 7.7629 0.1865
0.0000 -1.8494 8.7756
Pd Ag U Se
2 2 2 6
direct
0.2500 0.0972 0.5956
0.7500 0.9028 0.4044
0.7500 0.3510 0.7953
0.2500 0.6490 0.2047
0.2500 0.1755 0.2491
0.7500 0.8245 0.7509
0.2500 0.0783 0.8764
0.2500 0.6143 0.8683
0.7500 0.9217 0.1236
0.2500 0.7241 0.5153
0.7500 0.2759 0.4847
0.7500 0.3857 0.1317
```

10.
## U3Ag3PdSe8 (PBE-GGA)

Data for U3Ag3PdSe8 after structural relaxation.

Output
For the energy relative to the elements, uncorrected, the calculation gives -0.622 eV per atom. For the uncorrected energy, the calculation gives -5.6545 eV/atom.

Cell and atoms, written as POSCAR:
```
U3Ag3PdSe8
1.0
-4.5926 -3.8269 5.4804
3.2167 -4.0744 -6.1502
4.7721 2.7377 5.9108
Ag Pd Se U
3 1 8 3
direct
0.0000 0.0000 0.0000
0.5000 0.5000 0.0000
0.0000 0.5000 0.0000
0.0000 0.0000 0.5000
0.7660 0.5320 0.2685
0.7507 0.5014 0.7509
0.7475 0.9946 0.7417
0.2493 0.4986 0.2491
0.7530 0.0054 0.2583
0.2340 0.4680 0.7315
0.2470 0.9946 0.7417
0.2525 0.0054 0.2583
0.5000 0.5000 0.5000
0.5000 0.0000 0.5000
0.0000 0.5000 0.5000
```

11.
## AgPdWSe2 (PBE-GGA)

Data for AgPdWSe2 after structural relaxation.

Output
For the energy relative to the elements, uncorrected, the calculation gives 1.235 eV per atom. For the uncorrected energy, the calculation gives -4.3578 eV/atom.

Cell and atoms, written as POSCAR:
```
AgPdWSe2
1.0
-4.0845 -2.0384 1.6685
2.6217 -2.5351 3.3209
-0.5149 3.6369 3.1828
Pd Se Ag W
1 2 1 1
direct
0.0000 0.0000 0.0000
0.5000 0.0000 0.0000
0.0000 0.0000 0.5000
0.0000 0.5000 0.0000
0.5000 0.5000 0.5000
```

12.
## YAg2PdSe (PBE-GGA)

Data for YAg2PdSe after structural relaxation.

Output
For the energy relative to the elements, uncorrected, the calculation gives 0.917 eV per atom. For the uncorrected energy, the calculation gives -3.2521 eV/atom.

Cell and atoms, written as POSCAR:
```
YAg2PdSe
1.0
-2.5915 3.2271 3.5345
-3.2564 1.2970 -3.5718
-3.2193 -4.1496 1.4283
Pd Ag Se Y
1 2 1 1
direct
0.0000 0.5000 0.0000
0.0000 0.0000 0.5000
0.5000 0.0000 0.0000
0.5000 0.5000 0.5000
0.0000 0.0000 0.0000
```

13.
## Si2Ag2Pd (PBE-GGA)

Data for Si2Ag2Pd after structural relaxation.

Output
For the energy relative to the elements, uncorrected, the calculation gives -0.054 eV per atom. For the uncorrected energy, the calculation gives -4.4027 eV/atom.

Cell and atoms, written as POSCAR:
```
Si2Ag2Pd
1.0
-3.1715 0.7682 5.3071
4.8356 -2.2553 3.2162
1.5986 3.9703 0.3806
Ag Pd Si
4 2 4
direct
0.8056 0.3056 0.5000
0.6944 0.8056 0.5000
0.3056 0.1944 0.5000
0.1944 0.6944 0.5000
0.0000 0.0000 0.0000
0.5000 0.5000 0.0000
0.6297 0.1297 0.0000
0.8703 0.6297 0.0000
0.1297 0.3703 0.0000
0.3703 0.8703 0.0000
```

14.
## SiAg3Pd (PBE-GGA)

Data for SiAg3Pd after structural relaxation.

Output
Its energy above the most stable polymorph in this dataset is 0.510 eV/atom. For the energy relative to the elements, uncorrected, the calculation gives 1.035 eV per atom. For the uncorrected energy, the calculation gives -2.7986 eV/atom.

Cell and atoms, written as POSCAR:
```
SiAg3Pd
1.0
5.0167 0.0000 0.0000
0.0000 5.0167 0.0000
0.0000 0.0000 5.0167
Si Ag Pd
1 3 1
direct
0.5000 0.5000 0.5000
0.0000 0.5000 0.0000
0.0000 0.0000 0.5000
0.5000 0.0000 0.0000
0.0000 0.0000 0.0000
```

15.
## SiAgPd2 (PBE-GGA)

Data for SiAgPd2 after structural relaxation.

Output
For the energy relative to the elements, uncorrected, the calculation gives -0.385 eV per atom. For the uncorrected energy, the calculation gives -5.0499 eV/atom.

Cell and atoms, written as POSCAR:
```
SiAgPd2
1.0
-2.0375 1.4663 1.5226
-1.9008 -0.3455 -2.2107
-2.2374 -6.0960 2.8764
Si Ag Pd
1 1 2
direct
0.5000 0.5000 0.0000
0.5000 0.5000 0.5000
0.0000 0.0000 0.2033
0.0000 0.0000 0.7967
```

16.
## SiAgPd2 (PBE-GGA)

Data for SiAgPd2 after structural relaxation.

Output
For the energy relative to the elements, uncorrected, the calculation gives -0.228 eV per atom. For the uncorrected energy, the calculation gives -4.8934 eV/atom.

Cell and atoms, written as POSCAR:
```
SiAgPd2
1.0
7.0084 0.0000 0.0000
0.0000 7.0084 0.0000
3.5042 3.5042 2.7009
Si Pd Ag
2 4 2
direct
0.2500 0.7500 0.5000
0.5000 0.5000 0.0000
0.1803 0.6250 0.2500
0.8750 0.8197 0.7500
0.3750 0.4303 0.7500
0.5697 0.1250 0.2500
0.0000 0.0000 0.0000
0.7500 0.2500 0.5000
```

17.
## SiAgPd2 (PBE-GGA)

Data for SiAgPd2 after structural relaxation.

Output
For the energy relative to the elements, uncorrected, the calculation gives -0.274 eV per atom. For the uncorrected energy, the calculation gives -4.9389 eV/atom.

Cell and atoms, written as POSCAR:
```
SiAgPd2
1.0
4.1234 0.0000 0.0000
2.0617 3.5710 0.0000
2.0617 1.1903 4.3934
Pd Ag Si
2 1 1
direct
0.7770 0.7770 0.6690
0.2230 0.2230 0.3310
0.0000 0.0000 0.0000
0.5000 0.5000 0.5000
```

18.
## Si2Ag4Pd (PBE-GGA)

Data for Si2Ag4Pd after structural relaxation.

Output
For the energy relative to the elements, uncorrected, the calculation gives 0.567 eV per atom. For the uncorrected energy, the calculation gives -3.3540 eV/atom.

Cell and atoms, written as POSCAR:
```
Si2Ag4Pd
1.0
-2.3488 0.7504 4.4057
-1.0755 -4.9258 0.2657
3.6447 -3.0940 5.3630
Ag Si Pd
4 2 1
direct
0.7860 0.7860 0.4280
0.0000 0.5000 0.0000
0.5000 0.0000 0.0000
0.2140 0.2140 0.5720
0.4069 0.4069 0.1862
0.5931 0.5931 0.8138
0.0000 0.0000 0.0000
```

19.
## SiAg3Pd (PBE-GGA)

Data for SiAg3Pd after structural relaxation.

Output
Its energy above the most stable polymorph in this dataset is 0.000 eV/atom. For the energy relative to the elements, uncorrected, the calculation gives 0.525 eV per atom. For the uncorrected energy, the calculation gives -3.3085 eV/atom.

Cell and atoms, written as POSCAR:
```
SiAg3Pd
1.0
4.6933 0.0000 0.0000
0.0000 4.6933 0.0000
0.0000 0.0000 4.6933
Ag Pd Si
3 1 1
direct
0.0000 0.5000 0.0000
0.5000 0.0000 0.0000
0.0000 0.0000 0.5000
0.5000 0.5000 0.5000
0.0000 0.0000 0.0000
```

20.
## SrSiAgPd2 (PBE-GGA)

Data for SrSiAgPd2 after structural relaxation.

Output
For the energy relative to the elements, uncorrected, the calculation gives -0.417 eV per atom. For the uncorrected energy, the calculation gives -4.4858 eV/atom.

Cell and atoms, written as POSCAR:
```
SrSiAgPd2
1.0
-2.7314 -3.3270 1.9636
3.7683 -1.7646 2.2519
-0.8713 2.9315 3.7550
Ag Sr Si Pd
1 1 1 2
direct
0.0000 0.0000 0.5000
0.5000 0.5000 0.5000
0.0000 0.0000 0.0000
0.0000 0.5000 0.0000
0.5000 0.0000 0.0000
```